This record from Alexandria via LeMat-Bulk describes an optimized crystal structure of KCrAgF6. The functional is PBE with a Hubbard U.

Computed properties:
* electronic total energy: -85.5 eV/cell
* crystal system: tetragonal

Structure (CIF):
```
data_KCrAgF6
_chemical_formula_sum 'K2 Cr2 Ag2 F12'
_space_group_name_H-M_alt 'P 42 n m'
_space_group_IT_number 102
_cell_length_a 5.328
_cell_length_b 5.328
_cell_length_c 10.745
_cell_angle_alpha 90.00
_cell_angle_beta 90.00
_cell_angle_gamma 90.00
loop_
_space_group_symop_operation_xyz
'x,y,z'
'-y+1/2,x+1/2,z+1/2'
'-x,-y,z'
'y+1/2,-x+1/2,z+1/2'
'-x+1/2,y+1/2,z+1/2'
'y,x,z'
'x+1/2,-y+1/2,z+1/2'
'-y,-x,z'
loop_
_atom_site_label
_atom_site_type_symbol
_atom_site_fract_x
_atom_site_fract_y
_atom_site_fract_z
K1 K 0.000 0.000 0.000
Cr1 Cr 0.000 0.000 0.666
Ag1 Ag 0.000 0.000 0.329
F1 F 0.167 0.167 0.537
F2 F 0.179 0.179 0.788
F3 F 0.245 0.755 0.670
```